Record 1
{"formula": "RhI2O2", "functional": "SCAN", "state": "single point on PBEsol structure", "e_form_raw_mev_per_atom": 367, "e_tot_ev_per_atom": -23.576, "dos_at_fermi_per_ev_cell": 3.9, "relative_energy_ev_per_atom": 0.000, "spacegroup": "No. 123", "cell": [[3.6285, 0.0000, 0.0000], [0.0000, 5.4334, 0.0000], [0.0000, 0.0000, 5.4334]], "species": ["I", "I", "O", "O", "Rh"], "fractional_positions": [[0.0000, 0.5000, 0.0000], [0.0000, 0.0000, 0.5000], [0.5000, 0.5000, 0.5000], [0.5000, 0.0000, 0.0000], [0.0000, 0.0000, 0.0000]]}

---

Record 2
{"formula": "Te2RhIO", "functional": "SCAN", "state": "single point on PBEsol structure", "e_form_raw_mev_per_atom": 694, "e_tot_ev_per_atom": -29.555, "dos_at_fermi_per_ev_cell": 4.8, "spacegroup": "No. 123", "cell": [[-2.9112, -2.1814, -3.4921], [3.2794, -3.8145, -0.3511], [-2.6899, -2.6727, 3.9120]], "species": ["Te", "Te", "Rh", "O", "I"], "fractional_positions": [[0.0000, 0.5000, 0.0000], [0.5000, 0.0000, 0.0000], [0.0000, 0.0000, 0.0000], [0.5000, 0.5000, 0.5000], [0.0000, 0.0000, 0.5000]]}

---

Record 3
{"formula": "TeRhI2O", "functional": "SCAN", "state": "single point on PBEsol structure", "e_form_raw_mev_per_atom": 662, "e_tot_ev_per_atom": -29.485, "dos_at_fermi_per_ev_cell": 5.5, "spacegroup": "No. 123", "cell": [[4.9427, 0.0000, 0.0000], [0.0000, 5.4026, 0.0000], [0.0000, 0.0000, 5.4026]], "species": ["O", "I", "I", "Rh", "Te"], "fractional_positions": [[0.5000, 0.5000, 0.5000], [0.0000, 0.5000, 0.0000], [0.0000, 0.0000, 0.5000], [0.0000, 0.0000, 0.0000], [0.5000, 0.0000, 0.0000]]}

---

Record 4
{"formula": "TlRhIO2", "functional": "SCAN", "state": "single point on PBEsol structure", "e_form_raw_mev_per_atom": 463, "e_tot_ev_per_atom": -30.604, "dos_at_fermi_per_ev_cell": 1.7, "spacegroup": "No. 123", "cell": [[4.0237, 0.0000, 0.0000], [0.0000, 4.0237, 0.0000], [0.0000, 0.0000, 6.6229]], "species": ["Rh", "Tl", "O", "O", "I"], "fractional_positions": [[0.5000, 0.5000, 0.5000], [0.0000, 0.0000, 0.0000], [0.0000, 0.5000, 0.0000], [0.5000, 0.0000, 0.0000], [0.0000, 0.0000, 0.5000]]}

---

Record 5
{"formula": "RhWIO2", "functional": "SCAN", "state": "single point on PBEsol structure", "e_form_raw_mev_per_atom": -604, "e_tot_ev_per_atom": -31.136, "dos_at_fermi_per_ev_cell": 3.9, "spacegroup": "No. 123", "cell": [[-2.1332, -3.0941, 0.3938], [2.9176, -2.1481, -1.0733], [1.7145, -0.4693, 5.6002]], "species": ["W", "Rh", "O", "O", "I"], "fractional_positions": [[0.0000, 0.0000, 0.0000], [0.5000, 0.5000, 0.5000], [0.5000, 0.0000, 0.0000], [0.0000, 0.5000, 0.0000], [0.0000, 0.0000, 0.5000]]}

---

Record 6
{"formula": "SnRuIO2", "functional": "SCAN", "state": "single point on PBEsol structure", "e_form_raw_mev_per_atom": -38, "e_tot_ev_per_atom": -24.028, "dos_at_fermi_per_ev_cell": 1.9, "spacegroup": "No. 123", "cell": [[-2.5793, -1.8445, -2.5664], [3.0598, -0.6278, -2.6239], [1.0237, -4.6358, 2.3029]], "species": ["Sn", "Ru", "I", "O", "O"], "fractional_positions": [[0.5000, 0.5000, 0.5000], [0.0000, 0.0000, 0.0000], [0.0000, 0.0000, 0.5000], [0.5000, 0.0000, 0.0000], [0.0000, 0.5000, 0.0000]]}

---

Record 7
{"formula": "TeRuI2O", "functional": "SCAN", "state": "single point on PBEsol structure", "e_form_raw_mev_per_atom": 619, "e_tot_ev_per_atom": -29.740, "dos_at_fermi_per_ev_cell": 1.4, "spacegroup": "No. 123", "cell": [[-2.8888, -1.9569, 1.8592], [-2.5524, -1.1449, -5.1708], [3.0977, -4.9784, -0.4268]], "species": ["O", "Ru", "I", "I", "Te"], "fractional_positions": [[0.5000, 0.0000, 0.0000], [0.5000, 0.5000, 0.5000], [0.0000, 0.0000, 0.5000], [0.0000, 0.5000, 0.0000], [0.0000, 0.0000, 0.0000]]}

---

Record 8
{"formula": "TiRuIO2", "functional": "SCAN", "state": "single point on PBEsol structure", "e_form_raw_mev_per_atom": -263, "e_tot_ev_per_atom": -20.275, "dos_at_fermi_per_ev_cell": 3.8, "spacegroup": "No. 123", "cell": [[3.8204, 0.0000, 0.0000], [0.0000, 3.8204, 0.0000], [0.0000, 0.0000, 5.7637]], "species": ["I", "O", "O", "Ti", "Ru"], "fractional_positions": [[0.0000, 0.0000, 0.5000], [0.5000, 0.0000, 0.0000], [0.0000, 0.5000, 0.0000], [0.5000, 0.5000, 0.5000], [0.0000, 0.0000, 0.0000]]}

---

Record 9
{"formula": "SI2O2", "functional": "SCAN", "state": "single point on PBEsol structure", "e_form_raw_mev_per_atom": 725, "e_tot_ev_per_atom": -18.389, "dos_at_fermi_per_ev_cell": 4.4, "spacegroup": "No. 139", "cell": [[-2.1347, 3.3197, -3.2082], [-2.3102, -4.5132, 0.8989], [-4.2923, -0.1260, 2.7257]], "species": ["O", "O", "I", "I", "S"], "fractional_positions": [[0.4134, 0.8268, 0.5866], [0.5866, 0.1732, 0.4134], [0.7500, 0.5000, 0.7500], [0.2500, 0.5000, 0.2500], [0.0000, 0.0000, 0.0000]]}

---

Record 10
{"formula": "SI2O6", "functional": "SCAN", "state": "single point on PBEsol structure", "e_form_raw_mev_per_atom": -777, "e_tot_ev_per_atom": -14.166, "dos_at_fermi_per_ev_cell": 0.0, "spacegroup": "No. 15", "cell": [[4.6873, 0.0000, 0.0000], [2.3436, 7.5845, 0.0089], [2.3436, 2.0897, 8.4024]], "species": ["I", "I", "I", "I", "O", "O", "O", "O", "O", "O", "O", "O", "O", "O", "O", "O", "S", "S"], "fractional_positions": [[0.8585, 0.4271, 0.2492], [0.4652, 0.9271, 0.7492], [0.5348, 0.0729, 0.2508], [0.1415, 0.5729, 0.7508], [0.3388, 0.8943, 0.1473], [0.9081, 0.3253, 0.8607], [0.3151, 0.7882, 0.6456], [0.6197, 0.3943, 0.6473], [0.0919, 0.6747, 0.1393], [0.0941, 0.1747, 0.6393], [0.7489, 0.7118, 0.8544], [0.3803, 0.6057, 0.3527], [0.9059, 0.8253, 0.3607], [0.2511, 0.2882, 0.1456], [0.6612, 0.1057, 0.8527], [0.6849, 0.2118, 0.3544], [0.8186, 0.2500, 0.7500], [0.1814, 0.7500, 0.2500]]}

---

Record 11
{"formula": "S2I2O11", "functional": "SCAN", "state": "single point on PBEsol structure", "e_form_raw_mev_per_atom": -846, "e_tot_ev_per_atom": -11.598, "dos_at_fermi_per_ev_cell": 0.0, "spacegroup": "No. 14", "cell": [[-8.6811, 2.1402, -0.3480], [-0.0072, -4.1702, -8.1739], [-2.4151, -9.0454, 4.6170]], "species": ["S", "S", "S", "S", "S", "S", "S", "S", "O", "O", "O", "O", "O", "O", "O", "O", "O", "O", "O", "O", "O", "O", "O", "O", "O", "O", "O", "O", "O", "O", "O", "O", "O", "O", "O", "O", "O", "O", "O", "O", "O", "O", "O", "O", "O", "O", "O", "O", "O", "O", "O", "O", "I", "I", "I", "I", "I", "I", "I", "I"], "fractional_positions": [[0.2223, 0.8022, 0.0817], [0.2758, 0.3095, 0.8352], [0.7758, 0.3095, 0.6648], [0.2242, 0.6905, 0.3352], [0.7242, 0.6905, 0.1648], [0.7223, 0.8022, 0.4183], [0.2777, 0.1978, 0.5817], [0.7777, 0.1978, 0.9183], [0.1607, 0.1123, 0.5127], [0.8953, 0.1089, 0.8649], [0.3393, 0.8877, 0.0127], [0.3308, 0.4237, 0.1430], [0.6599, 0.8136, 0.1072], [0.8401, 0.1864, 0.6072], [0.3953, 0.1089, 0.6351], [0.1569, 0.3741, 0.9054], [0.6566, 0.6721, 0.4796], [0.3788, 0.7034, 0.8167], [0.1655, 0.9176, 0.7753], [0.8925, 0.4179, 0.7144], [0.8431, 0.6259, 0.0946], [0.3434, 0.3279, 0.5204], [0.1212, 0.1747, 0.1046], [0.6655, 0.9176, 0.7247], [0.1075, 0.5821, 0.2856], [0.8308, 0.4237, 0.3570], [0.1599, 0.8136, 0.3928], [0.1212, 0.2966, 0.3167], [0.8788, 0.8253, 0.8954], [0.8167, 0.7511, 0.2936], [0.3167, 0.7511, 0.2064], [0.6607, 0.1123, 0.9873], [0.3925, 0.4179, 0.7856], [0.8788, 0.7034, 0.6833], [0.1833, 0.2489, 0.7064], [0.8345, 0.0824, 0.2247], [0.1566, 0.6721, 0.0204], [0.3431, 0.6259, 0.4054], [0.6569, 0.3741, 0.5946], [0.3345, 0.0824, 0.2753], [0.1692, 0.5763, 0.6430], [0.6047, 0.8911, 0.3649], [0.6075, 0.5821, 0.2144], [0.3788, 0.8253, 0.6046], [0.8434, 0.3279, 0.9796], [0.1047, 0.8911, 0.1351], [0.8393, 0.8877, 0.4873], [0.6833, 0.2489, 0.7936], [0.6212, 0.2966, 0.1833], [0.6212, 0.1747, 0.3954], [0.3401, 0.1864, 0.8928], [0.6692, 0.5763, 0.8570], [0.1371, 0.0858, 0.2724], [0.3629, 0.9142, 0.7724], [0.3643, 0.6112, 0.6486], [0.8629, 0.9142, 0.7276], [0.8643, 0.6112, 0.8514], [0.6371, 0.0858, 0.2276], [0.6357, 0.3888, 0.3514], [0.1357, 0.3888, 0.1486]]}

---

Record 12
{"formula": "S2I2O11", "functional": "SCAN", "state": "single point on PBEsol structure", "e_form_raw_mev_per_atom": -844, "e_tot_ev_per_atom": -11.596, "dos_at_fermi_per_ev_cell": 0.0, "spacegroup": "No. 33", "cell": [[4.5139, 0.0000, 0.0000], [0.0000, 10.5549, 0.0000], [0.0000, 0.0000, 18.2414]], "species": ["O", "O", "O", "O", "O", "O", "O", "O", "O", "O", "O", "O", "O", "O", "O", "O", "O", "O", "O", "O", "O", "O", "O", "O", "O", "O", "O", "O", "O", "O", "O", "O", "O", "O", "O", "O", "O", "O", "O", "O", "O", "O", "O", "O", "S", "S", "S", "S", "S", "S", "S", "S", "I", "I", "I", "I", "I", "I", "I", "I"], "fractional_positions": [[0.7428, 0.9145, 0.0931], [0.7561, 0.8847, 0.4531], [0.6915, 0.5131, 0.5627], [0.7030, 0.1129, 0.6873], [0.2572, 0.4145, 0.9069], [0.7482, 0.7077, 0.1564], [0.6604, 0.3134, 0.6251], [0.6803, 0.3905, 0.7945], [0.1604, 0.8134, 0.8749], [0.2518, 0.2077, 0.8436], [0.8396, 0.3134, 0.1251], [0.2970, 0.6129, 0.3127], [0.3380, 0.1327, 0.5874], [0.8271, 0.9909, 0.8375], [0.3271, 0.4909, 0.6625], [0.6620, 0.6327, 0.4126], [0.2439, 0.3847, 0.5469], [0.2482, 0.2077, 0.3436], [0.2030, 0.6129, 0.8127], [0.7499, 0.7371, 0.7966], [0.2428, 0.4145, 0.4069], [0.1620, 0.1327, 0.0874], [0.8085, 0.5131, 0.0627], [0.3197, 0.8905, 0.2055], [0.6866, 0.2446, 0.4546], [0.7518, 0.7077, 0.6564], [0.6729, 0.9909, 0.3375], [0.2561, 0.3847, 0.0469], [0.8197, 0.3905, 0.2945], [0.1803, 0.8905, 0.7055], [0.7501, 0.7371, 0.2966], [0.1915, 0.0131, 0.9373], [0.3396, 0.8134, 0.3749], [0.2499, 0.2371, 0.7034], [0.7439, 0.8847, 0.9531], [0.3134, 0.7446, 0.5454], [0.1866, 0.7446, 0.0454], [0.2501, 0.2371, 0.2034], [0.7970, 0.1129, 0.1873], [0.8380, 0.6327, 0.9126], [0.7572, 0.9145, 0.5931], [0.1729, 0.4909, 0.1625], [0.3085, 0.0131, 0.4373], [0.8134, 0.2446, 0.9546], [0.5346, 0.9372, 0.4013], [0.9735, 0.6863, 0.8483], [0.4735, 0.1863, 0.6517], [0.0265, 0.1863, 0.1517], [0.0346, 0.4372, 0.0987], [0.9654, 0.9372, 0.9013], [0.4654, 0.4372, 0.5987], [0.5265, 0.6863, 0.3483], [0.7951, 0.7469, 0.0494], [0.2951, 0.2469, 0.4506], [0.2905, 0.3757, 0.8001], [0.2049, 0.2469, 0.9506], [0.7095, 0.8757, 0.1999], [0.7049, 0.7469, 0.5494], [0.2095, 0.3757, 0.3001], [0.7905, 0.8757, 0.6999]]}

---

Record 13
{"formula": "S2IO", "functional": "SCAN", "state": "single point on PBEsol structure", "e_form_raw_mev_per_atom": 679, "e_tot_ev_per_atom": -14.879, "dos_at_fermi_per_ev_cell": 8.2, "spacegroup": "No. 141", "cell": [[5.0652, 0.0000, 0.0000], [0.0000, 5.0652, 0.0000], [-2.5326, -2.5326, 6.1652]], "species": ["I", "I", "O", "O", "S", "S", "S", "S"], "fractional_positions": [[0.0000, 0.0000, 0.0000], [0.2500, 0.7500, 0.5000], [0.7500, 0.2500, 0.5000], [0.5000, 0.5000, 0.0000], [0.1250, 0.3750, 0.7500], [0.6250, 0.3750, 0.2500], [0.6250, 0.8750, 0.2500], [0.6250, 0.3750, 0.7500]]}

---

Record 14
{"formula": "SbSIO2", "functional": "SCAN", "state": "single point on PBEsol structure", "e_form_raw_mev_per_atom": -259, "e_tot_ev_per_atom": -19.478, "dos_at_fermi_per_ev_cell": 1.0, "spacegroup": "No. 123", "cell": [[-0.6846, -3.0116, 2.4263], [2.5406, 1.5075, 2.5881], [-4.7753, 3.3092, 2.7601]], "species": ["I", "S", "O", "O", "Sb"], "fractional_positions": [[0.0000, 0.0000, 0.5000], [0.5000, 0.5000, 0.5000], [0.0000, 0.5000, 0.0000], [0.5000, 0.0000, 0.0000], [0.0000, 0.0000, 0.0000]]}

---

Record 15
{"formula": "TcSIO2", "functional": "SCAN", "state": "single point on PBEsol structure", "e_form_raw_mev_per_atom": 768, "e_tot_ev_per_atom": -18.011, "dos_at_fermi_per_ev_cell": 2.8, "spacegroup": "No. 123", "cell": [[3.6995, 0.0000, 0.0000], [0.0000, 3.6995, 0.0000], [0.0000, 0.0000, 5.7598]], "species": ["Tc", "S", "O", "O", "I"], "fractional_positions": [[0.5000, 0.5000, 0.5000], [0.0000, 0.0000, 0.0000], [0.5000, 0.0000, 0.0000], [0.0000, 0.5000, 0.0000], [0.0000, 0.0000, 0.5000]]}

---

Record 16
{"formula": "TcSI2O", "functional": "SCAN", "state": "single point on PBEsol structure", "e_form_raw_mev_per_atom": 114, "e_tot_ev_per_atom": -24.766, "dos_at_fermi_per_ev_cell": 3.6, "spacegroup": "No. 123", "cell": [[3.6709, 0.0000, 0.0000], [0.0000, 5.3885, 0.0000], [0.0000, 0.0000, 5.3885]], "species": ["S", "Tc", "I", "I", "O"], "fractional_positions": [[0.5000, 0.5000, 0.5000], [0.0000, 0.0000, 0.0000], [0.0000, 0.0000, 0.5000], [0.0000, 0.5000, 0.0000], [0.5000, 0.0000, 0.0000]]}

---

Record 17
{"formula": "TiSIO2", "functional": "SCAN", "state": "single point on PBEsol structure", "e_form_raw_mev_per_atom": -1245, "e_tot_ev_per_atom": -16.217, "dos_at_fermi_per_ev_cell": 2.0, "spacegroup": "No. 123", "cell": [[-3.4317, 1.3007, -0.9322], [-0.2859, -2.6686, -2.6709], [-2.5208, -3.7627, 4.0293]], "species": ["O", "O", "Ti", "I", "S"], "fractional_positions": [[0.5000, 0.0000, 0.0000], [0.0000, 0.5000, 0.0000], [0.0000, 0.0000, 0.0000], [0.0000, 0.0000, 0.5000], [0.5000, 0.5000, 0.5000]]}

---

Record 18
{"formula": "TiSIO2", "functional": "SCAN", "state": "single point on PBEsol structure", "e_form_raw_mev_per_atom": 193, "e_tot_ev_per_atom": -14.779, "dos_at_fermi_per_ev_cell": 1.4, "spacegroup": "No. 123", "cell": [[-3.2477, 0.5354, -1.9159], [-1.9881, -1.0037, 3.0895], [-0.0996, 5.1321, 1.6031]], "species": ["Ti", "O", "O", "I", "S"], "fractional_positions": [[0.5000, 0.5000, 0.5000], [0.5000, 0.0000, 0.0000], [0.0000, 0.5000, 0.0000], [0.0000, 0.0000, 0.5000], [0.0000, 0.0000, 0.0000]]}

---

Record 19
{"formula": "ZnSIO2", "functional": "SCAN", "state": "single point on PBEsol structure", "e_form_raw_mev_per_atom": 209, "e_tot_ev_per_atom": -14.261, "dos_at_fermi_per_ev_cell": 2.0, "spacegroup": "No. 123", "cell": [[3.6971, 0.0000, 0.0000], [0.0000, 3.6971, 0.0000], [0.0000, 0.0000, 6.8062]], "species": ["O", "O", "S", "I", "Zn"], "fractional_positions": [[0.0000, 0.5000, 0.0000], [0.5000, 0.0000, 0.0000], [0.0000, 0.0000, 0.0000], [0.0000, 0.0000, 0.5000], [0.5000, 0.5000, 0.5000]]}

---

Record 20
{"formula": "SbIO3", "functional": "SCAN", "state": "single point on PBEsol structure", "e_form_raw_mev_per_atom": -378, "e_tot_ev_per_atom": -18.918, "dos_at_fermi_per_ev_cell": 1.7, "spacegroup": "No. 221", "cell": [[4.1188, 0.0000, 0.0000], [0.0000, 4.1188, 0.0000], [0.0000, 0.0000, 4.1188]], "species": ["O", "O", "O", "Sb", "I"], "fractional_positions": [[0.5000, 0.0000, 0.0000], [0.0000, 0.5000, 0.0000], [0.0000, 0.0000, 0.5000], [0.0000, 0.0000, 0.0000], [0.5000, 0.5000, 0.5000]]}